The following is a PBE calculation of an optimized crystal structure of K2Os, from OQMD.

The space group is No. 227. Its magnetic moment is 4.0 Bohr magnetons per cell. For the total energy, the calculation gives -2.47 eV per atom. The value obtained for the energy relative to the lowest polymorph listed for this composition is 0.00 eV per formula unit.

Lattice parameters (Å, degrees): 6.194 6.194 6.194 60.00 60.00 60.00
Element x y z (fractional)
1 K 0.000 0.000 0.000
2 K 0.000 0.000 0.500
3 K 0.000 0.500 0.000
4 K 0.500 0.000 0.000
5 Os 0.375 0.375 0.375
6 Os 0.625 0.625 0.625


The following is a PBE calculation of an optimized crystal structure of Rb2Tb4Cu4Se9, from OQMD.

The space group is No. 12. Its magnetic moment is 0.0 Bohr magnetons per cell. For the total energy, the calculation gives -4.80 eV per atom.

Lattice parameters (Å, degrees): 7.534 7.534 16.623 108.21 108.21 31.83
Element x y z (fractional)
1 Rb 0.031 0.031 0.271
2 Rb 0.969 0.969 0.729
3 Tb 0.230 0.230 0.102
4 Tb 0.345 0.345 0.444
5 Tb 0.655 0.655 0.556
6 Tb 0.770 0.770 0.898
7 Cu 0.245 0.245 0.730
8 Cu 0.425 0.425 0.030
9 Cu 0.575 0.575 0.970
10 Cu 0.755 0.755 0.270
11 Se 0.000 0.000 0.500
12 Se 0.137 0.137 0.923
13 Se 0.299 0.299 0.602
14 Se 0.349 0.349 0.276
15 Se 0.394 0.394 0.872
16 Se 0.606 0.606 0.128
17 Se 0.651 0.651 0.724
18 Se 0.701 0.701 0.398
19 Se 0.863 0.863 0.077


The following is a PBE calculation of an optimized crystal structure of Pm2MgO4, from OQMD.

The space group is No. 227. Its magnetic moment is 0.0 Bohr magnetons per cell. For the total energy, the calculation gives -7.38 eV per atom.

Lattice parameters (Å, degrees): 6.748 6.748 6.748 60.00 60.00 60.00
Element x y z (fractional)
1 Pm 0.000 0.000 0.000
2 Pm 0.000 0.000 0.500
3 Pm 0.000 0.500 0.000
4 Pm 0.500 0.000 0.000
5 Mg 0.375 0.375 0.375
6 Mg 0.625 0.625 0.625
7 O 0.242 0.753 0.753
8 O 0.247 0.247 0.247
9 O 0.247 0.247 0.758
10 O 0.247 0.758 0.247
11 O 0.753 0.242 0.753
12 O 0.753 0.753 0.242
13 O 0.753 0.753 0.753
14 O 0.758 0.247 0.247


The following is a PBE calculation of an optimized crystal structure of Na2GaAgH6, from OQMD.

The space group is No. 225. For the total energy, the calculation gives -2.85 eV per atom.

Lattice parameters (Å, degrees): 5.296 5.296 5.296 60.00 60.00 60.00
Element x y z (fractional)
1 Na 0.250 0.250 0.250
2 Na 0.750 0.750 0.750
3 Ga 0.000 0.000 0.000
4 Ag 0.500 0.500 0.500
5 H 0.241 0.241 0.759
6 H 0.241 0.759 0.241
7 H 0.241 0.759 0.759
8 H 0.759 0.241 0.241
9 H 0.759 0.241 0.759
10 H 0.759 0.759 0.241


The following is a PBE calculation of an optimized crystal structure of BaZn, from OQMD.

The space group is No. 59. For the total energy, the calculation gives -1.58 eV per atom.

Lattice parameters (Å, degrees): 4.233 6.472 5.424 90.00 90.00 90.00
Element x y z (fractional)
1 Ba 0.250 0.250 0.168
2 Ba 0.750 0.750 0.832
3 Zn 0.250 0.750 0.350
4 Zn 0.750 0.250 0.650


The following is a PBE calculation of an optimized crystal structure of Tm6InCu2, from OQMD.

The space group is No. 71. Its magnetic moment is 0.0 Bohr magnetons per cell. For the total energy, the calculation gives -4.36 eV per atom.

Lattice parameters (Å, degrees): 8.391 8.391 8.391 112.91 109.78 105.80
Element x y z (fractional)
1 Tm 0.038 0.238 0.800
2 Tm 0.186 0.284 0.470
3 Tm 0.186 0.716 0.902
4 Tm 0.322 0.018 0.696
5 Tm 0.322 0.626 0.304
6 Tm 0.438 0.238 0.200
7 Tm 0.562 0.762 0.800
8 Tm 0.678 0.374 0.696
9 Tm 0.678 0.982 0.304
10 Tm 0.814 0.284 0.098
11 Tm 0.814 0.716 0.530
12 Tm 0.962 0.762 0.200
13 In 0.000 0.000 0.000
14 In 0.500 0.500 0.000
15 Cu 0.120 0.620 0.500
16 Cu 0.348 0.000 0.348
17 Cu 0.652 0.000 0.652
18 Cu 0.880 0.380 0.500


The following is a PBE calculation of an optimized crystal structure of SrTlCo, from OQMD.

The space group is No. 216. Its magnetic moment is 1.0 Bohr magnetons per cell. For the total energy, the calculation gives -2.82 eV per atom.

Lattice parameters (Å, degrees): 5.140 5.140 5.140 60.00 60.00 60.00
Element x y z (fractional)
1 Sr 0.000 0.000 0.000
2 Tl 0.250 0.250 0.250
3 Co 0.750 0.750 0.750


The following is a PBE calculation of an optimized crystal structure of SrLiErS3, from OQMD.

The space group is No. 12. Its magnetic moment is 0.0 Bohr magnetons per cell. For the total energy, the calculation gives -5.38 eV per atom. The value obtained for the energy relative to the lowest polymorph listed for this composition is 0.00 eV per formula unit.

Lattice parameters (Å, degrees): 8.632 8.632 8.276 103.97 103.97 26.36
Element x y z (fractional)
1 Sr 0.134 0.134 0.065
2 Sr 0.866 0.866 0.935
3 Li 0.496 0.496 0.300
4 Li 0.504 0.504 0.700
5 Er 0.165 0.165 0.587
6 Er 0.835 0.835 0.413
7 S 0.000 0.000 0.500
8 S 0.326 0.326 0.188
9 S 0.333 0.333 0.640
10 S 0.500 0.500 0.000
11 S 0.667 0.667 0.360
12 S 0.674 0.674 0.812